No. 1
Compound: CePu2Ge2Au2
Source: the Alexandria database
Functional: PBE
Structure: optimized geometry

a b c (Å): 8.920 8.920 8.920
angles (deg): 29.92 29.92 29.92
Atoms (fractional coordinates):
Ce 0.000 0.000 0.000
Pu 0.141 0.141 0.141
Pu 0.859 0.859 0.859
Ge 0.264 0.264 0.264
Ge 0.736 0.736 0.736
Au 0.420 0.420 0.420
Au 0.580 0.580 0.580

Calculated values
**Formation energy**: -0.47 eV per atom
**E**: -7.6646 eV/atom
**Total moment**: 12.2 μB/f.u.



No. 2
Compound: NdSm2
Source: the Alexandria database
Functional: PBE
Structure: optimized geometry

a b c (Å): 6.703 6.703 6.703
angles (deg): 60.00 60.00 60.00
Atoms (fractional coordinates):
Nd 0.125 0.125 0.125
Nd 0.875 0.875 0.875
Sm 0.000 0.500 0.500
Sm 0.500 0.000 0.500
Sm 0.500 0.500 0.000
Sm 0.500 0.500 0.500

Calculated values
**Polymorph energy (0 for the lowest one)**: 252.0 meV/atom
**Formation energy**: 0.26 eV per atom
**E**: -4.4742 eV/atom
**Total moment**: 0.0 μB/f.u.



No. 3
Compound: TbEuAgAu
Source: the Alexandria database
Functional: PBE
Structure: optimized geometry

a b c (Å): 7.376 7.376 7.376
angles (deg): 90.00 90.00 90.00
Atoms (fractional coordinates):
Tb 0.000 0.000 0.000
Tb 0.000 0.500 0.500
Tb 0.500 0.000 0.500
Tb 0.500 0.500 0.000
Eu 0.000 0.000 0.500
Eu 0.000 0.500 0.000
Eu 0.500 0.000 0.000
Eu 0.500 0.500 0.500
Ag 0.250 0.250 0.250
Ag 0.250 0.750 0.750
Ag 0.750 0.250 0.750
Ag 0.750 0.750 0.250
Au 0.250 0.250 0.750
Au 0.250 0.750 0.250
Au 0.750 0.250 0.250
Au 0.750 0.750 0.750

Calculated values
**Formation energy**: -0.53 eV per atom
**E**: -5.7864 eV/atom
**Total moment**: 7.0 μB/f.u.



No. 4
Compound: CaSb3Os
Source: the Alexandria database
Functional: PBE
Structure: optimized geometry

a b c (Å): 5.254 5.254 5.254
angles (deg): 90.00 90.00 90.00
Atoms (fractional coordinates):
Ca 0.000 0.000 0.000
Sb 0.000 0.500 0.500
Sb 0.500 0.000 0.500
Sb 0.500 0.500 0.000
Os 0.500 0.500 0.500

Calculated values
**E**: -4.8282 eV/atom
**Total moment**: 0.0 μB/f.u.



No. 5
Compound: LaAgP2O
Source: the Alexandria database
Functional: PBE
Structure: optimized geometry

a b c (Å): 5.812 5.812 4.145
angles (deg): 90.00 90.00 90.00
Atoms (fractional coordinates):
La 0.000 0.000 0.000
Ag 0.500 0.500 0.500
P 0.000 0.500 0.000
P 0.500 0.000 0.000
O 0.000 0.000 0.500

Calculated values
**Polymorph energy (0 for the lowest one)**: 395.9 meV/atom
**E**: -4.5511 eV/atom
**Total moment**: 0.0 μB/f.u.



No. 6
Compound: Dy2Cl2O
Source: the Alexandria database
Functional: PBE
Structure: optimized geometry

a b c (Å): 4.103 4.103 13.105
angles (deg): 90.00 90.00 90.00
Atoms (fractional coordinates):
Dy 0.000 0.000 0.157
Dy 0.000 0.000 0.843
Cl 0.000 0.000 0.345
Cl 0.000 0.000 0.655
O 0.000 0.000 0.000

Calculated values
**E**: -4.9142 eV/atom
**Total moment**: 0.0 μB/f.u.